No. 1
Below is a relaxed structure of TlCuHg2H, with properties calculated at the PBE level.

Values from the calculation:
The total energy comes out at -1.91 eV/atom. Its total magnetization is 0.000 μB per cell.

Lattice parameters (Å, degrees): 5.656 5.656 3.333 90.00 90.00 90.00
Fractional coordinates of all 5 atoms:
Tl1 0.000 0.000 0.000
Cu1 0.500 0.500 0.500
Hg1 0.000 0.500 0.500
Hg2 0.500 0.000 0.500
H1 0.500 0.500 0.000


No. 2
Below is a relaxed structure of LaY2Mg, with properties calculated at the PBE level.

Values from the calculation:
Its total magnetization is 0.000 μB per cell. The formation energy is -0.03 eV/atom.

Lattice parameters (Å, degrees): 3.728 3.728 9.009 90.00 90.00 90.00
Fractional coordinates of all 4 atoms:
La1 0.000 0.000 0.000
Y1 0.500 0.500 0.283
Y2 0.500 0.500 0.717
Mg1 0.000 0.000 0.500


No. 3
Below is a relaxed structure of Th2PaRu3, with properties calculated at the PBE level.

Values from the calculation:
Its total magnetization is 0.000 μB per cell. The formation energy is -0.48 eV/atom.

Lattice parameters (Å, degrees): 7.747 7.747 5.856 102.61 102.61 120.23
Fractional coordinates of all 12 atoms:
Th1 0.000 0.000 0.000
Th2 0.171 0.829 0.500
Th3 0.500 0.500 0.500
Th4 0.829 0.171 0.500
Pa1 0.334 0.666 0.000
Pa2 0.666 0.334 0.000
Ru1 0.051 0.394 0.155
Ru2 0.292 0.292 0.838
Ru3 0.394 0.051 0.155
Ru4 0.606 0.949 0.845
Ru5 0.708 0.708 0.162
Ru6 0.949 0.606 0.845